No. 1
# SrIn2Ni, relaxed, DFT GGA-PBE
data_SrIn2Ni
_chemical_formula_sum 'Sr1 In2 Ni1'
_space_group_name_H-M_alt 'P 1'
_space_group_IT_number 1
_space_group_name_Hall 'P 1'
_cell_length_a 4.414
_cell_length_b 4.414
_cell_length_c 5.038
_cell_angle_alpha 90.00
_cell_angle_beta 90.00
_cell_angle_gamma 90.00
loop_
_atom_site_label
_atom_site_type_symbol
_atom_site_fract_x
_atom_site_fract_y
_atom_site_fract_z
Sr1 Sr 0.000 0.000 0.000
In1 In 0.000 0.500 0.500
In2 In 0.500 0.000 0.500
Ni1 Ni 0.500 0.500 0.000
# Fermi-level density of states in states/eV/f.u.: 1.7
# Total magnetic moment in μB/cell: 0.0
# Raw total energy in eV/atom: -3.21

No. 2
# Sr2In2Ni, relaxed, DFT GGA-PBE
data_Sr2In2Ni
_chemical_formula_sum 'Sr4 In4 Ni2'
_space_group_name_H-M_alt 'P 1'
_space_group_IT_number 1
_space_group_name_Hall 'P 1'
_cell_length_a 7.371
_cell_length_b 7.371
_cell_length_c 5.361
_cell_angle_alpha 90.00
_cell_angle_beta 90.00
_cell_angle_gamma 90.00
loop_
_atom_site_label
_atom_site_type_symbol
_atom_site_fract_x
_atom_site_fract_y
_atom_site_fract_z
Sr1 Sr 0.173 0.327 0.000
Sr2 Sr 0.327 0.827 0.000
Sr3 Sr 0.673 0.173 0.000
Sr4 Sr 0.827 0.673 0.000
In1 In 0.146 0.646 0.500
In2 In 0.354 0.146 0.500
In3 In 0.646 0.854 0.500
In4 In 0.854 0.354 0.500
Ni1 Ni 0.000 0.000 0.500
Ni2 Ni 0.500 0.500 0.500
# Offset from the most stable computed form in eV per formula unit: 1.10
# Fermi-level density of states in states/eV/f.u.: 7.2
# Total magnetic moment in μB/cell: 0.0

No. 3
# SrInNi4, relaxed, DFT GGA-PBE
data_SrInNi4
_chemical_formula_sum 'Sr2 In2 Ni8'
_space_group_name_H-M_alt 'P 1'
_space_group_IT_number 1
_space_group_name_Hall 'P 1'
_cell_length_a 9.735
_cell_length_b 9.735
_cell_length_c 5.209
_cell_angle_alpha 90.00
_cell_angle_beta 90.00
_cell_angle_gamma 155.80
loop_
_atom_site_label
_atom_site_type_symbol
_atom_site_fract_x
_atom_site_fract_y
_atom_site_fract_z
Sr1 Sr 0.219 0.781 0.750
Sr2 Sr 0.781 0.219 0.250
In1 In 0.081 0.919 0.250
In2 In 0.919 0.081 0.750
Ni1 Ni 0.061 0.939 0.750
Ni2 Ni 0.375 0.625 0.022
Ni3 Ni 0.375 0.625 0.478
Ni4 Ni 0.500 0.500 0.000
Ni5 Ni 0.500 0.500 0.500
Ni6 Ni 0.625 0.375 0.522
Ni7 Ni 0.625 0.375 0.978
Ni8 Ni 0.939 0.061 0.250
# Fermi-level density of states in states/eV/f.u.: 9.4
# Total magnetic moment in μB/cell: 1.2
# Raw total energy in eV/atom: -4.54

No. 4
# SrIn2Ni, relaxed, DFT GGA-PBE
data_SrIn2Ni
_chemical_formula_sum 'Sr1 In2 Ni1'
_space_group_name_H-M_alt 'P 1'
_space_group_IT_number 1
_space_group_name_Hall 'P 1'
_cell_length_a 6.070
_cell_length_b 6.070
_cell_length_c 6.070
_cell_angle_alpha 146.24
_cell_angle_beta 126.16
_cell_angle_gamma 65.08
loop_
_atom_site_label
_atom_site_type_symbol
_atom_site_fract_x
_atom_site_fract_y
_atom_site_fract_z
Sr1 Sr 0.000 0.000 0.000
In1 In 0.301 0.801 0.500
In2 In 0.699 0.199 0.500
Ni1 Ni 0.500 0.500 0.000
# Fermi-level density of states in states/eV/f.u.: 2.8
# Total magnetic moment in μB/cell: 0.0
# Raw total energy in eV/atom: -3.35

No. 5
# Sr4InNi, relaxed, DFT GGA-PBE
data_Sr4InNi
_chemical_formula_sum 'Sr8 In2 Ni2'
_space_group_name_H-M_alt 'P 1'
_space_group_IT_number 1
_space_group_name_Hall 'P 1'
_cell_length_a 13.203
_cell_length_b 13.203
_cell_length_c 7.971
_cell_angle_alpha 90.00
_cell_angle_beta 90.00
_cell_angle_gamma 161.36
loop_
_atom_site_label
_atom_site_type_symbol
_atom_site_fract_x
_atom_site_fract_y
_atom_site_fract_z
Sr1 Sr 0.000 0.000 0.000
Sr2 Sr 0.000 0.000 0.500
Sr3 Sr 0.188 0.812 0.517
Sr4 Sr 0.188 0.812 0.983
Sr5 Sr 0.401 0.599 0.750
Sr6 Sr 0.599 0.401 0.250
Sr7 Sr 0.812 0.188 0.017
Sr8 Sr 0.812 0.188 0.483
In1 In 0.412 0.588 0.250
In2 In 0.588 0.412 0.750
Ni1 Ni 0.288 0.712 0.750
Ni2 Ni 0.712 0.288 0.250
# Offset from the most stable computed form in eV per formula unit: 0.00
# Fermi-level density of states in states/eV/f.u.: 5.4
# Total magnetic moment in μB/cell: 0.0

No. 6
# Sr6In2Ni, relaxed, DFT GGA-PBE
data_Sr6In2Ni
_chemical_formula_sum 'Sr12 In4 Ni2'
_space_group_name_H-M_alt 'P 1'
_space_group_IT_number 1
_space_group_name_Hall 'P 1'
_cell_length_a 7.296
_cell_length_b 10.569
_cell_length_c 10.876
_cell_angle_alpha 90.00
_cell_angle_beta 122.06
_cell_angle_gamma 90.00
loop_
_atom_site_label
_atom_site_type_symbol
_atom_site_fract_x
_atom_site_fract_y
_atom_site_fract_z
Sr1 Sr 0.134 0.132 0.465
Sr2 Sr 0.134 0.368 0.965
Sr3 Sr 0.296 0.743 0.433
Sr4 Sr 0.296 0.757 0.933
Sr5 Sr 0.326 0.041 0.190
Sr6 Sr 0.326 0.459 0.690
Sr7 Sr 0.674 0.541 0.310
Sr8 Sr 0.674 0.959 0.810
Sr9 Sr 0.704 0.243 0.067
Sr10 Sr 0.704 0.257 0.567
Sr11 Sr 0.866 0.632 0.035
Sr12 Sr 0.866 0.868 0.535
In1 In 0.203 0.085 0.817
In2 In 0.203 0.415 0.317
In3 In 0.797 0.585 0.683
In4 In 0.797 0.915 0.183
Ni1 Ni 0.500 0.000 0.500
Ni2 Ni 0.500 0.500 0.000
# Fermi-level density of states in states/eV/f.u.: 6.0
# Total magnetic moment in μB/cell: 0.0
# Raw total energy in eV/atom: -2.54

No. 7
# Sr2In9Ni3, relaxed, DFT GGA-PBE
data_Sr2In9Ni3
_chemical_formula_sum 'Sr4 In18 Ni6'
_space_group_name_H-M_alt 'P 1'
_space_group_IT_number 1
_space_group_name_Hall 'P 1'
_cell_length_a 8.308
_cell_length_b 8.308
_cell_length_c 11.599
_cell_angle_alpha 111.39
_cell_angle_beta 111.39
_cell_angle_gamma 59.59
loop_
_atom_site_label
_atom_site_type_symbol
_atom_site_fract_x
_atom_site_fract_y
_atom_site_fract_z
Sr1 Sr 0.086 0.253 0.250
Sr2 Sr 0.253 0.086 0.750
Sr3 Sr 0.747 0.914 0.250
Sr4 Sr 0.914 0.747 0.750
In1 In 0.014 0.866 0.071
In2 In 0.134 0.986 0.429
In3 In 0.185 0.358 0.571
In4 In 0.201 0.582 0.252
In5 In 0.308 0.485 0.948
In6 In 0.358 0.185 0.071
In7 In 0.362 0.638 0.750
In8 In 0.418 0.799 0.248
In9 In 0.485 0.308 0.448
In10 In 0.515 0.692 0.552
In11 In 0.582 0.201 0.752
In12 In 0.638 0.362 0.250
In13 In 0.642 0.815 0.929
In14 In 0.692 0.515 0.052
In15 In 0.799 0.418 0.748
In16 In 0.815 0.642 0.429
In17 In 0.866 0.014 0.571
In18 In 0.986 0.134 0.929
Ni1 Ni 0.000 0.500 0.000
Ni2 Ni 0.168 0.666 0.499
Ni3 Ni 0.334 0.832 0.001
Ni4 Ni 0.500 0.000 0.500
Ni5 Ni 0.666 0.168 0.999
Ni6 Ni 0.832 0.334 0.501
# Fermi-level density of states in states/eV/f.u.: 4.0
# Total magnetic moment in μB/cell: 0.0
# Raw total energy in eV/atom: -3.46

No. 8
# Sr2In2Ni, relaxed, DFT GGA-PBE
data_Sr2In2Ni
_chemical_formula_sum 'Sr4 In4 Ni2'
_space_group_name_H-M_alt 'P 1'
_space_group_IT_number 1
_space_group_name_Hall 'P 1'
_cell_length_a 6.442
_cell_length_b 6.442
_cell_length_c 12.067
_cell_angle_alpha 113.24
_cell_angle_beta 113.24
_cell_angle_gamma 40.07
loop_
_atom_site_label
_atom_site_type_symbol
_atom_site_fract_x
_atom_site_fract_y
_atom_site_fract_z
Sr1 Sr 0.009 0.009 0.161
Sr2 Sr 0.194 0.194 0.622
Sr3 Sr 0.806 0.806 0.378
Sr4 Sr 0.991 0.991 0.839
In1 In 0.307 0.307 0.941
In2 In 0.483 0.483 0.622
In3 In 0.517 0.517 0.378
In4 In 0.693 0.693 0.059
Ni1 Ni 0.309 0.309 0.172
Ni2 Ni 0.691 0.691 0.828
# Offset from the most stable computed form in eV per formula unit: 0.00
# Fermi-level density of states in states/eV/f.u.: 3.3
# Total magnetic moment in μB/cell: 0.0

No. 9
# SrIn8Ni2, relaxed, DFT GGA-PBE
data_SrIn8Ni2
_chemical_formula_sum 'Sr1 In8 Ni2'
_space_group_name_H-M_alt 'P 1'
_space_group_IT_number 1
_space_group_name_Hall 'P 1'
_cell_length_a 6.238
_cell_length_b 6.238
_cell_length_c 8.671
_cell_angle_alpha 90.00
_cell_angle_beta 90.00
_cell_angle_gamma 90.00
loop_
_atom_site_label
_atom_site_type_symbol
_atom_site_fract_x
_atom_site_fract_y
_atom_site_fract_z
Sr1 Sr 0.000 0.000 0.000
In1 In 0.252 0.252 0.319
In2 In 0.252 0.252 0.681
In3 In 0.252 0.748 0.319
In4 In 0.252 0.748 0.681
In5 In 0.748 0.252 0.319
In6 In 0.748 0.252 0.681
In7 In 0.748 0.748 0.319
In8 In 0.748 0.748 0.681
Ni1 Ni 0.000 0.500 0.500
Ni2 Ni 0.500 0.000 0.500
# Fermi-level density of states in states/eV/f.u.: 6.9
# Total magnetic moment in μB/cell: 0.0
# Raw total energy in eV/atom: -3.17

No. 10
# SrIn2Ni, relaxed, DFT GGA-PBE
data_SrIn2Ni
_chemical_formula_sum 'Sr1 In2 Ni1'
_space_group_name_H-M_alt 'P 1'
_space_group_IT_number 1
_space_group_name_Hall 'P 1'
_cell_length_a 3.603
_cell_length_b 3.603
_cell_length_c 7.625
_cell_angle_alpha 90.00
_cell_angle_beta 90.00
_cell_angle_gamma 90.00
loop_
_atom_site_label
_atom_site_type_symbol
_atom_site_fract_x
_atom_site_fract_y
_atom_site_fract_z
Sr1 Sr 0.000 0.000 0.000
In1 In 0.000 0.000 0.579
In2 In 0.500 0.500 0.321
Ni1 Ni 0.500 0.500 0.695
# Fermi-level density of states in states/eV/f.u.: 2.9
# Total magnetic moment in μB/cell: 0.0
# Raw total energy in eV/atom: -3.30

No. 11
# Sr2TbIn12Ni3, relaxed, DFT GGA-PBE
data_Sr2TbIn12Ni3
_chemical_formula_sum 'Sr2 Tb1 In12 Ni3'
_space_group_name_H-M_alt 'P 1'
_space_group_IT_number 1
_space_group_name_Hall 'P 1'
_cell_length_a 8.663
_cell_length_b 8.663
_cell_length_c 8.663
_cell_angle_alpha 65.27
_cell_angle_beta 65.27
_cell_angle_gamma 65.27
loop_
_atom_site_label
_atom_site_type_symbol
_atom_site_fract_x
_atom_site_fract_y
_atom_site_fract_z
Sr1 Sr 0.087 0.087 0.087
Sr2 Sr 0.913 0.913 0.913
Tb1 Tb 0.500 0.500 0.500
In1 In 0.056 0.656 0.656
In2 In 0.225 0.225 0.607
In3 In 0.225 0.607 0.225
In4 In 0.344 0.344 0.944
In5 In 0.344 0.944 0.344
In6 In 0.393 0.775 0.775
In7 In 0.607 0.225 0.225
In8 In 0.656 0.056 0.656
In9 In 0.656 0.656 0.056
In10 In 0.775 0.393 0.775
In11 In 0.775 0.775 0.393
In12 In 0.944 0.344 0.344
Ni1 Ni 0.000 0.500 0.500
Ni2 Ni 0.500 0.000 0.500
Ni3 Ni 0.500 0.500 0.000
# Fermi-level density of states in states/eV/f.u.: 9.4
# Total magnetic moment in μB/cell: 0.0
# Raw total energy in eV/atom: -3.28

No. 12
# SrIn2NiTe, relaxed, DFT GGA-PBE
data_SrIn2NiTe
_chemical_formula_sum 'Sr1 In2 Ni1 Te1'
_space_group_name_H-M_alt 'P 1'
_space_group_IT_number 1
_space_group_name_Hall 'P 1'
_cell_length_a 4.974
_cell_length_b 4.974
_cell_length_c 5.752
_cell_angle_alpha 90.00
_cell_angle_beta 90.00
_cell_angle_gamma 90.00
loop_
_atom_site_label
_atom_site_type_symbol
_atom_site_fract_x
_atom_site_fract_y
_atom_site_fract_z
Sr1 Sr 0.000 0.000 0.000
In1 In 0.000 0.500 0.500
In2 In 0.500 0.000 0.500
Ni1 Ni 0.000 0.000 0.500
Te1 Te 0.500 0.500 0.000
# Fermi-level density of states in states/eV/f.u.: 1.3
# Formation energy without anion corrections in eV per atom: -0.484
# Total magnetic moment in μB/cell: 0.0